This record from Alexandria describes a geometry-optimized RbTaTe3 structure. The functional is PBEsol.

Cell lengths 5.4580, 5.4580, 5.4580 Å; angles 90.00, 90.00, 90.00 degrees
With the nearest neighbours (Å) after each atom.
Positions (direct):
Rb 0.0000 0.0000 0.0000  12 Te 3.86
Ta 0.5000 0.5000 0.5000  6 Te 2.73
Te 0.0000 0.5000 0.5000  2 Ta 2.73
Te 0.5000 0.0000 0.5000  2 Ta 2.73
Te 0.5000 0.5000 0.0000  2 Ta 2.73

Output
As for the space-group type: Pm-3m. The density of states at the Fermi level comes out at 0.482 states/eV per atom. As for the uncorrected formation energy: -0.328 eV/atom.

This record from Alexandria describes a geometry-optimized RbTa2Tl structure. The functional is PBEsol.

Cell lengths 4.9201, 4.9201, 4.9201 Å; angles 60.00, 60.00, 60.00 degrees
With the nearest neighbours (Å) after each atom.
Positions (direct):
Rb 0.0000 0.0000 0.0000  8 Ta 3.01
Ta 0.2500 0.2500 0.2500  4 Tl 3.01, 4 Rb 3.01
Ta 0.7500 0.7500 0.7500  4 Tl 3.01, 4 Rb 3.01
Tl 0.5000 0.5000 0.5000  8 Ta 3.01

Output
As for the space-group type: Fm-3m. The value obtained for the formation energy from the elements is 1711 meV/atom. The density of states at the Fermi level comes out at 0.363 states/eV per atom.

This record from Alexandria describes a geometry-optimized Rb3TaW structure. The functional is PBEsol.

Cell lengths 6.6099, 6.6099, 6.6099 Å; angles 90.00, 90.00, 90.00 degrees
With the nearest neighbours (Å) after each atom.
Positions (direct):
Rb 0.0000 0.0000 0.5000  2 Ta 3.30
Rb 0.0000 0.5000 0.0000  2 Ta 3.30
Rb 0.5000 0.0000 0.0000  2 Ta 3.30
Ta 0.0000 0.0000 0.0000  6 Rb 3.30
W 0.5000 0.5000 0.5000  12 Rb 4.67

Output
As for the space-group type: Pm-3m. The value obtained for the formation energy from the elements is 2819 meV/atom. The density of states at the Fermi level comes out at 0.444 states/eV per atom. As for the polymorph energy (0 for the lowest one): 0.0000 eV per atom.

This record from Alexandria describes a geometry-optimized RbZr2Ta structure. The functional is PBEsol.

Cell lengths 5.0528, 5.0528, 5.0528 Å; angles 60.00, 60.00, 60.00 degrees
With the nearest neighbours (Å) after each atom.
Positions (direct):
Rb 0.0000 0.0000 0.0000  8 Zr 3.09
Zr 0.2500 0.2500 0.2500  4 Ta 3.09, 4 Rb 3.09
Zr 0.7500 0.7500 0.7500  4 Ta 3.09, 4 Rb 3.09
Ta 0.5000 0.5000 0.5000  8 Zr 3.09

Output
As for the space-group type: Fm-3m. The value obtained for the formation energy from the elements is 1215 meV/atom. The density of states at the Fermi level comes out at 1.287 states/eV per atom.

This record from Alexandria describes a geometry-optimized RbZr3Ta structure. The functional is PBEsol.

Cell lengths 4.8833, 4.8833, 4.8833 Å; angles 90.00, 90.00, 90.00 degrees
With the nearest neighbours (Å) after each atom.
Positions (direct):
Rb 0.0000 0.0000 0.0000  6 Zr 2.44
Zr 0.0000 0.0000 0.5000  2 Rb 2.44
Zr 0.0000 0.5000 0.0000  2 Rb 2.44
Zr 0.5000 0.0000 0.0000  2 Rb 2.44
Ta 0.5000 0.5000 0.5000  12 Zr 3.45

Output
As for the space-group type: Pm-3m. The value obtained for the formation energy from the elements is 2177 meV/atom. The density of states at the Fermi level comes out at 1.854 states/eV per atom.

This record from Alexandria describes a geometry-optimized Rb3Tb structure. The functional is PBEsol.

Cell lengths 7.7940, 7.7940, 7.7940 Å; angles 134.05, 134.05, 67.01 degrees
With the nearest neighbours (Å) after each atom.
Positions (direct):
Rb 0.0000 0.0000 0.0000  4 Tb 4.30, 8 Rb 4.45
Rb 0.2500 0.7500 0.5000  8 Rb 4.30-4.45, 4 Tb 4.45
Rb 0.7500 0.2500 0.5000  8 Rb 4.30-4.45, 4 Tb 4.45
Tb 0.5000 0.5000 0.0000  12 Rb 4.30-4.45

Output
As for the space-group type: I4/mmm. The value obtained for the formation energy from the elements is 654 meV/atom. The density of states at the Fermi level comes out at 1.657 states/eV per atom.

This record from Alexandria describes a geometry-optimized Rb3Tc structure. The functional is PBEsol.

Cell lengths 6.6488, 6.6488, 6.6488 Å; angles 125.25, 125.25, 81.13 degrees
With the nearest neighbours (Å) after each atom.
Positions (direct):
Rb 0.0000 0.0000 0.0000  8 Rb 3.97, 4 Tc 4.32
Rb 0.2500 0.7500 0.5000  4 Tc 3.97, 8 Rb 3.97-4.32
Rb 0.7500 0.2500 0.5000  4 Tc 3.97, 8 Rb 3.97-4.32
Tc 0.5000 0.5000 0.0000  12 Rb 3.97-4.32

Output
As for the space-group type: I4/mmm. The value obtained for the formation energy from the elements is 1400 meV/atom. The density of states at the Fermi level comes out at 1.740 states/eV per atom.

This record from Alexandria describes a geometry-optimized Rb3TcTe structure. The functional is PBEsol.

Cell lengths 6.8301, 6.8301, 6.8301 Å; angles 90.00, 90.00, 90.00 degrees
With the nearest neighbours (Å) after each atom.
Positions (direct):
Rb 0.0000 0.0000 0.5000  2 Te 3.42
Rb 0.0000 0.5000 0.0000  2 Te 3.42
Rb 0.5000 0.0000 0.0000  2 Te 3.42
Tc 0.5000 0.5000 0.5000  12 Rb 4.83
Te 0.0000 0.0000 0.0000  6 Rb 3.42

Output
As for the space-group type: Pm-3m. The density of states at the Fermi level comes out at 1.215 states/eV per atom. As for the uncorrected formation energy: 0.777 eV/atom.

This record from Alexandria describes a geometry-optimized RbY2TcTe structure. The functional is PBEsol.

Cell lengths 5.2208, 5.2208, 5.7219 Å; angles 90.00, 90.00, 90.00 degrees
With the nearest neighbours (Å) after each atom.
Positions (direct):
Rb 0.0000 0.0000 0.0000  4 Y 2.61, 2 Te 2.86
Y 0.0000 0.5000 0.0000  2 Rb 2.61
Y 0.5000 0.0000 0.0000  2 Rb 2.61
Tc 0.5000 0.5000 0.5000  4 Te 3.69, 8 Y 3.87
Te 0.0000 0.0000 0.5000  2 Rb 2.86

Output
As for the space-group type: P4/mmm. The density of states at the Fermi level comes out at 1.018 states/eV per atom. As for the uncorrected formation energy: 1.937 eV/atom.

This record from Alexandria describes a geometry-optimized RbTcW2 structure. The functional is PBEsol.

Cell lengths 4.5888, 4.5888, 4.5888 Å; angles 60.00, 60.00, 60.00 degrees
With the nearest neighbours (Å) after each atom.
Positions (direct):
Rb 0.0000 0.0000 0.0000  8 W 2.81
Tc 0.5000 0.5000 0.5000  8 W 2.81
W 0.2500 0.2500 0.2500  4 Tc 2.81, 4 Rb 2.81
W 0.7500 0.7500 0.7500  4 Tc 2.81, 4 Rb 2.81

Output
As for the space-group type: Fm-3m. The value obtained for the formation energy from the elements is 1936 meV/atom. The density of states at the Fermi level comes out at 1.085 states/eV per atom.

This record from Alexandria describes a geometry-optimized RbZr3Tc structure. The functional is PBEsol.

Cell lengths 4.8433, 4.8433, 4.8433 Å; angles 90.00, 90.00, 90.00 degrees
With the nearest neighbours (Å) after each atom.
Positions (direct):
Rb 0.0000 0.0000 0.0000  6 Zr 2.42
Zr 0.0000 0.0000 0.5000  2 Rb 2.42
Zr 0.0000 0.5000 0.0000  2 Rb 2.42
Zr 0.5000 0.0000 0.0000  2 Rb 2.42
Tc 0.5000 0.5000 0.5000  12 Zr 3.42

Output
As for the space-group type: Pm-3m. The value obtained for the formation energy from the elements is 2357 meV/atom. The density of states at the Fermi level comes out at 1.281 states/eV per atom.

This record from Alexandria describes a geometry-optimized RbTe structure. The functional is PBEsol.

Cell lengths 5.1477, 5.1477, 5.1477 Å; angles 60.00, 60.00, 60.00 degrees
With the nearest neighbours (Å) after each atom.
Positions (direct):
Rb 0.0000 0.0000 0.0000  6 Te 3.64
Te 0.5000 0.5000 0.5000  6 Rb 3.64

Output
As for the space-group type: Fm-3m. The density of states at the Fermi level comes out at 2.279 states/eV per atom. As for the uncorrected formation energy: -0.315 eV/atom.

Question: Which of these has the highest density of states at the Fermi level?
Answer: RbTe

Question: What is the formula in the fourth record?
Answer: RbZr2Ta

Question: What is the formula in the twelfth record?
Answer: RbTe

Copy entry 7 word for word.
This record from Alexandria describes a geometry-optimized Rb3Tc structure. The functional is PBEsol.

Cell lengths 6.6488, 6.6488, 6.6488 Å; angles 125.25, 125.25, 81.13 degrees
With the nearest neighbours (Å) after each atom.
Positions (direct):
Rb 0.0000 0.0000 0.0000  8 Rb 3.97, 4 Tc 4.32
Rb 0.2500 0.7500 0.5000  4 Tc 3.97, 8 Rb 3.97-4.32
Rb 0.7500 0.2500 0.5000  4 Tc 3.97, 8 Rb 3.97-4.32
Tc 0.5000 0.5000 0.0000  12 Rb 3.97-4.32

Output
As for the space-group type: I4/mmm. The value obtained for the formation energy from the elements is 1400 meV/atom. The density of states at the Fermi level comes out at 1.740 states/eV per atom.